This record from Alexandria describes crystalline TcNi2Se at its relaxed geometry. The functional is PBE-GGA.

Unit cell a=4.728 b=4.728 c=4.728 alpha=134.37 beta=134.37 gamma=66.51
Each line ends with the local moment (μB).
Element x y z (fractional)
Tc (0.750, 0.250, 0.500)  0.44
Ni (0.500, 0.500, 0.000)  0.24
Ni (0.000, 0.000, 0.000)  0.24
Se (0.250, 0.750, 0.500)  0.01

Results
D(E_F): 1.6132 states/eV/atom
E_tot: -5.9798 eV per atom
SG: I4/mmm
energy relative to the elements, uncorrected: 0.37 eV/atom